(1)
{"formula": "Tm2Fe12Ge7", "functional": "PBE", "state": "optimized geometry", "magnetic_moment_mub_per_fu": 23.39, "space_group": "P-6, No. 174", "ef_ev_per_atom": -0.232, "cell": [[9.3426, 0.0000, 0.0000], [-4.6713, 8.0909, 0.0000], [0.0000, 0.0000, 3.9107]], "species": ["Tm", "Tm", "Fe", "Fe", "Fe", "Fe", "Fe", "Fe", "Fe", "Fe", "Fe", "Fe", "Fe", "Fe", "Ge", "Ge", "Ge", "Ge", "Ge", "Ge", "Ge"], "fractional_positions": [[0.0000, 0.0000, 0.0000], [0.3333, 0.6667, 0.5000], [0.0361, 0.2992, 0.5000], [0.1261, 0.7687, 0.0000], [0.2313, 0.3574, 0.0000], [0.2630, 0.9639, 0.5000], [0.3718, 0.1676, 0.0000], [0.5558, 0.4170, 0.5000], [0.5830, 0.1387, 0.5000], [0.6426, 0.8739, 0.0000], [0.7008, 0.7370, 0.5000], [0.7958, 0.6282, 0.0000], [0.8324, 0.2042, 0.0000], [0.8613, 0.4442, 0.5000], [0.0628, 0.4858, 0.0000], [0.2517, 0.2211, 0.5000], [0.4230, 0.9372, 0.0000], [0.5142, 0.5770, 0.0000], [0.6667, 0.3333, 0.0000], [0.7789, 0.0306, 0.5000], [0.9694, 0.7483, 0.5000]]}

---

(2)
{"formula": "Tm3FeGe3", "functional": "PBE", "state": "optimized geometry", "magnetic_moment_mub_per_fu": 1.13, "space_group": "C2/m, No. 12", "ef_ev_per_atom": -0.724, "cell": [[5.2644, -2.0805, 0.0000], [5.2644, 2.0805, 0.0000], [-4.8058, 0.0000, 12.8186]], "species": ["Tm", "Tm", "Tm", "Tm", "Tm", "Tm", "Fe", "Fe", "Ge", "Ge", "Ge", "Ge", "Ge", "Ge"], "fractional_positions": [[0.0269, 0.0269, 0.3817], [0.0984, 0.0984, 0.9195], [0.2447, 0.2447, 0.2308], [0.7553, 0.7553, 0.7692], [0.9016, 0.9016, 0.0805], [0.9731, 0.9731, 0.6183], [0.2579, 0.2579, 0.5916], [0.7421, 0.7421, 0.4084], [0.3591, 0.3591, 0.4541], [0.3743, 0.3743, 0.9248], [0.4561, 0.4561, 0.7585], [0.5439, 0.5439, 0.2415], [0.6257, 0.6257, 0.0752], [0.6409, 0.6409, 0.5459]]}

---

(3)
{"formula": "Tm3Fe4Ge4", "functional": "PBE", "state": "optimized geometry", "magnetic_moment_mub_per_fu": 7.72, "space_group": "Immm, No. 71", "ef_ev_per_atom": -0.498, "cell": [[-2.0588, 3.3870, 6.6605], [2.0588, -3.3870, 6.6605], [2.0588, 3.3870, -6.6605]], "species": ["Tm", "Tm", "Tm", "Fe", "Fe", "Fe", "Fe", "Ge", "Ge", "Ge", "Ge"], "fractional_positions": [[0.0000, 0.0000, 0.0000], [0.3739, 0.8739, 0.5000], [0.6261, 0.1261, 0.5000], [0.0045, 0.3213, 0.6832], [0.3619, 0.6787, 0.6832], [0.6381, 0.3213, 0.3168], [0.9955, 0.6787, 0.3168], [0.2223, 0.2223, 0.0000], [0.3022, 0.5000, 0.8022], [0.6978, 0.5000, 0.1978], [0.7777, 0.7777, 0.0000]]}

---

(4)
{"formula": "TmFeGe2", "functional": "PBE", "state": "optimized geometry", "magnetic_moment_mub_per_fu": 0.43, "space_group": "Pnma, No. 62", "ef_ev_per_atom": -0.494, "cell": [[6.7685, 0.0000, 0.0000], [0.0000, 4.1351, 0.0000], [0.0000, 0.0000, 9.9207]], "species": ["Tm", "Tm", "Tm", "Tm", "Fe", "Fe", "Fe", "Fe", "Ge", "Ge", "Ge", "Ge", "Ge", "Ge", "Ge", "Ge"], "fractional_positions": [[0.1816, 0.2500, 0.1290], [0.3184, 0.7500, 0.6290], [0.6816, 0.2500, 0.3710], [0.8184, 0.7500, 0.8710], [0.0215, 0.7500, 0.3900], [0.4785, 0.2500, 0.8900], [0.5215, 0.7500, 0.1100], [0.9785, 0.2500, 0.6100], [0.1261, 0.2500, 0.8198], [0.1860, 0.2500, 0.4275], [0.3140, 0.7500, 0.9275], [0.3739, 0.7500, 0.3198], [0.6261, 0.2500, 0.6802], [0.6860, 0.2500, 0.0725], [0.8140, 0.7500, 0.5725], [0.8739, 0.7500, 0.1802]]}

---

(5)
{"formula": "TmFe4Ge12", "functional": "PBE", "state": "optimized geometry", "magnetic_moment_mub_per_fu": 4.63, "space_group": "Im-3, No. 204", "ef_ev_per_atom": 0.052, "cell": [[-4.2221, 4.2221, 4.2221], [4.2221, -4.2221, 4.2221], [4.2221, 4.2221, -4.2221]], "species": ["Tm", "Fe", "Fe", "Fe", "Fe", "Ge", "Ge", "Ge", "Ge", "Ge", "Ge", "Ge", "Ge", "Ge", "Ge", "Ge", "Ge"], "fractional_positions": [[0.0000, 0.0000, 0.0000], [0.0000, 0.0000, 0.5000], [0.0000, 0.5000, 0.0000], [0.5000, 0.0000, 0.0000], [0.5000, 0.5000, 0.5000], [0.1644, 0.5026, 0.3382], [0.1644, 0.8261, 0.6618], [0.1739, 0.3382, 0.8356], [0.3382, 0.1644, 0.5026], [0.3382, 0.8356, 0.1739], [0.4974, 0.6618, 0.8356], [0.5026, 0.3382, 0.1644], [0.6618, 0.1644, 0.8261], [0.6618, 0.8356, 0.4974], [0.8261, 0.6618, 0.1644], [0.8356, 0.1739, 0.3382], [0.8356, 0.4974, 0.6618]]}

---

(6)
{"formula": "TmFe3Ge3", "functional": "PBE", "state": "optimized geometry", "magnetic_moment_mub_per_fu": 5.05, "space_group": "Pm-3n, No. 223", "ef_ev_per_atom": 0.297, "e_above_lowest_polymorph_mev_per_atom": 540, "cell": [[6.4496, 0.0000, 0.0000], [0.0000, 6.4496, 0.0000], [0.0000, 0.0000, 6.4496]], "species": ["Tm", "Tm", "Fe", "Fe", "Fe", "Fe", "Fe", "Fe", "Ge", "Ge", "Ge", "Ge", "Ge", "Ge"], "fractional_positions": [[0.0000, 0.0000, 0.0000], [0.5000, 0.5000, 0.5000], [0.0000, 0.2500, 0.5000], [0.0000, 0.7500, 0.5000], [0.2500, 0.5000, 0.0000], [0.5000, 0.0000, 0.2500], [0.5000, 0.0000, 0.7500], [0.7500, 0.5000, 0.0000], [0.0000, 0.5000, 0.2500], [0.0000, 0.5000, 0.7500], [0.2500, 0.0000, 0.5000], [0.5000, 0.2500, 0.0000], [0.5000, 0.7500, 0.0000], [0.7500, 0.0000, 0.5000]]}

---

(7)
{"formula": "TmFe4Ge", "functional": "PBE", "state": "optimized geometry", "magnetic_moment_mub_per_fu": 7.07, "space_group": "F-43m, No. 216", "ef_ev_per_atom": -0.082, "cell": [[0.0000, 3.4758, 3.4758], [3.4758, 0.0000, 3.4758], [3.4758, 3.4758, 0.0000]], "species": ["Tm", "Fe", "Fe", "Fe", "Fe", "Ge"], "fractional_positions": [[0.0000, 0.0000, 0.0000], [0.1278, 0.6241, 0.6241], [0.6241, 0.1278, 0.6241], [0.6241, 0.6241, 0.1278], [0.6241, 0.6241, 0.6241], [0.2500, 0.2500, 0.2500]]}

---

(8)
{"formula": "Tm3Fe2Ge3", "functional": "PBE", "state": "optimized geometry", "magnetic_moment_mub_per_fu": 0.00, "space_group": "Cmcm, No. 63", "ef_ev_per_atom": -0.629, "cell": [[2.0644, -5.2521, 0.0000], [2.0644, 5.2521, 0.0000], [0.0000, 0.0000, 13.6285]], "species": ["Tm", "Tm", "Tm", "Tm", "Tm", "Tm", "Fe", "Fe", "Fe", "Fe", "Ge", "Ge", "Ge", "Ge", "Ge", "Ge"], "fractional_positions": [[0.0813, 0.9187, 0.6112], [0.0813, 0.9187, 0.8888], [0.3598, 0.6402, 0.7500], [0.6402, 0.3598, 0.2500], [0.9187, 0.0813, 0.1112], [0.9187, 0.0813, 0.3888], [0.2147, 0.7853, 0.0830], [0.2147, 0.7853, 0.4170], [0.7853, 0.2147, 0.5830], [0.7853, 0.2147, 0.9170], [0.3318, 0.6682, 0.2500], [0.3782, 0.6218, 0.5415], [0.3782, 0.6218, 0.9585], [0.6218, 0.3782, 0.0415], [0.6218, 0.3782, 0.4585], [0.6682, 0.3318, 0.7500]]}

---

Which formula does entry 4 have? TmFeGe2

---

What did the eighth record say?
{"formula": "Tm3Fe2Ge3", "functional": "PBE", "state": "optimized geometry", "magnetic_moment_mub_per_fu": 0.00, "space_group": "Cmcm, No. 63", "ef_ev_per_atom": -0.629, "cell": [[2.0644, -5.2521, 0.0000], [2.0644, 5.2521, 0.0000], [0.0000, 0.0000, 13.6285]], "species": ["Tm", "Tm", "Tm", "Tm", "Tm", "Tm", "Fe", "Fe", "Fe", "Fe", "Ge", "Ge", "Ge", "Ge", "Ge", "Ge"], "fractional_positions": [[0.0813, 0.9187, 0.6112], [0.0813, 0.9187, 0.8888], [0.3598, 0.6402, 0.7500], [0.6402, 0.3598, 0.2500], [0.9187, 0.0813, 0.1112], [0.9187, 0.0813, 0.3888], [0.2147, 0.7853, 0.0830], [0.2147, 0.7853, 0.4170], [0.7853, 0.2147, 0.5830], [0.7853, 0.2147, 0.9170], [0.3318, 0.6682, 0.2500], [0.3782, 0.6218, 0.5415], [0.3782, 0.6218, 0.9585], [0.6218, 0.3782, 0.0415], [0.6218, 0.3782, 0.4585], [0.6682, 0.3318, 0.7500]]}